{
  "formula": "Pr7Ho2Th2",
  "functional": "GGA-PBE",
  "state": "optimized geometry",
  "magnetic_moment_mub_per_fu": 0.0,
  "relative_energy_mev_per_atom": 0,
  "energy_ev_per_fu": -55.54,
  "delta_e_f_ev_per_atom": 0.174,
  "cell": [[5.8869, 1.0716, 1.5463], [0.4107, 8.0366, 1.4662], [0.4107, -1.4494, 8.0396]],
  "species": ["Th", "Th", "Pr", "Pr", "Pr", "Pr", "Pr", "Pr", "Pr", "Ho", "Ho"],
  "fractional_positions": [[0.1986, 0.5696, 0.5696], [0.8014, 0.4304, 0.4304], [0.4028, 0.2304, 0.2304], [0.8264, 0.9505, 0.4123], [0.5972, 0.7696, 0.7696], [0.1736, 0.5877, 0.0495], [0.0000, 0.0000, 0.0000], [0.8264, 0.4123, 0.9505], [0.1736, 0.0495, 0.5877], [0.5000, 0.7759, 0.2241], [0.5000, 0.2241, 0.7759]]
}